EuNiIr, optimized geometry, DFT PBE; formation energy from the elements = -0.217 eV/atom
1.0
4.113 0.000 0.000
-2.057 3.562 0.000
0.000 0.000 4.166
Eu Ni Ir
1 1 1
Direct
0.000 0.000 0.000
0.333 0.667 0.500
0.667 0.333 0.500